Computed, not measured: crystalline TbPm4SmTm2 at its relaxed geometry at the PBE-GGA level of DFT.

- E_form: 16.2 meV/atom
- E_tot: -37.16 eV/cell

a = 5.1119 Å, b = 5.0912 Å, c = 11.3003 Å
α = 63.18°, β = 90.00°, γ = 90.00°
With the nearest neighbours (Å) after each atom.
Fractional coordinates of all 8 atoms:
Tm  0.5000  0.0000  0.5000  8 Pm 3.57-3.59, 4 Tb 3.61
Tm  0.0000  0.0000  0.0000  8 Pm 3.59-3.60, 4 Sm 3.61
Pm  0.5000  0.7483  0.2514  4 Tm 3.57-3.60, 2 Tb 3.58, 2 Sm 3.59, 4 Pm 3.61
Pm  0.0000  0.2493  0.2506  2 Tb 3.58, 4 Tm 3.59, 2 Sm 3.59, 4 Pm 3.61
Pm  0.5000  0.2517  0.7486  4 Tm 3.57-3.60, 2 Tb 3.58, 2 Sm 3.59, 4 Pm 3.61
Pm  0.0000  0.7507  0.7494  2 Tb 3.58, 4 Tm 3.59, 2 Sm 3.59, 4 Pm 3.61
Sm  0.5000  0.5000  0.0000  8 Pm 3.59, 4 Tm 3.61
Tb  0.0000  0.5000  0.5000  8 Pm 3.58, 4 Tm 3.61



Computed, not measured: crystalline Cs3PmNb2O8 at its relaxed geometry at the PBE-GGA level of DFT.

- ΔE_f (raw): -2551 meV per atom
- E_tot: -102.83 eV/cell

a = 6.4644 Å, b = 6.4644 Å, c = 8.5127 Å
α = 90.00°, β = 90.00°, γ = 120.00°
With the nearest neighbours (Å) after each atom.
Fractional coordinates of all 14 atoms:
Nb  0.3333  0.6667  0.2662  4 O 1.82-1.90
Nb  0.6667  0.3333  0.7338  4 O 1.82-1.90
O  0.8276  0.6551  0.6618  1 Nb 1.90
O  0.8276  0.1724  0.6618  1 Nb 1.90
O  0.3449  0.1724  0.6618  1 Nb 1.90
O  0.6551  0.8276  0.3382  1 Nb 1.90
O  0.1724  0.3449  0.3382  1 Nb 1.90
O  0.1724  0.8276  0.3382  1 Nb 1.90
O  0.3333  0.6667  0.0519  1 Nb 1.82
O  0.6667  0.3333  0.9481  1 Nb 1.82
Cs  0.3333  0.6667  0.7151  1 O 2.87
Cs  0.0000  0.0000  0.0000  12 O 3.47-3.76
Cs  0.6667  0.3333  0.2849  1 O 2.87
Pm  0.0000  0.0000  0.5000  6 O 2.37



Computed, not measured: crystalline Tb2MgCdHg4 at its relaxed geometry at the PBE-GGA level of DFT.

- E_form: -425.0 meV/atom
- E_tot: -16.38 eV/cell

a = 5.0924 Å, b = 5.0924 Å, c = 8.8191 Å
α = 73.22°, β = 73.22°, γ = 60.00°
With the nearest neighbours (Å) after each atom.
Fractional coordinates of all 8 atoms:
Hg  0.6219  0.6219  0.1342  1 Mg 3.04, 4 Tb 3.08-3.14, 3 Cd 3.14
Hg  0.3781  0.3781  0.8658  1 Mg 3.04, 4 Tb 3.08-3.14, 3 Cd 3.14
Hg  0.1280  0.1280  0.6159  3 Mg 3.09, 4 Tb 3.10-3.17, 1 Cd 3.19
Hg  0.8720  0.8720  0.3841  3 Mg 3.09, 4 Tb 3.10-3.17, 1 Cd 3.19
Mg  0.5000  0.5000  0.5000  8 Hg 3.04-3.09
Cd  0.0000  0.0000  0.0000  8 Hg 3.14-3.19
Tb  0.7477  0.7477  0.7570  8 Hg 3.08-3.17
Tb  0.2523  0.2523  0.2430  8 Hg 3.08-3.17



Computed, not measured: crystalline BPRhAu at its relaxed geometry at the PBE-GGA level of DFT.

- ΔE to the lowest computed polymorph: 118 meV/atom
- E_form: 63.2 meV/atom
- E_tot: -44.93 eV/cell

a = 2.8719 Å, b = 3.1564 Å, c = 12.4923 Å
α = 90.00°, β = 90.00°, γ = 90.00°
With the nearest neighbours (Å) after each atom.
Fractional coordinates of all 8 atoms:
Au  0.5000  0.5000  0.3195  2 B 2.35, 2 P 2.47
Au  0.5000  0.0000  0.8195  2 B 2.35, 2 P 2.47
Rh  0.0000  0.5000  0.5175  4 B 2.25, 2 P 2.36
Rh  0.0000  0.0000  0.0175  4 B 2.25, 2 P 2.36
P  0.5000  0.5000  0.6672  2 Rh 2.36, 2 Au 2.47
P  0.5000  0.0000  0.1672  2 Rh 2.36, 2 Au 2.47
B  0.5000  0.5000  0.9592  4 Rh 2.25, 2 Au 2.35
B  0.5000  0.0000  0.4592  4 Rh 2.25, 2 Au 2.35



Copy entry 1 word for word.
Computed, not measured: crystalline TbPm4SmTm2 at its relaxed geometry at the PBE-GGA level of DFT.

- E_form: 16.2 meV/atom
- E_tot: -37.16 eV/cell

a = 5.1119 Å, b = 5.0912 Å, c = 11.3003 Å
α = 63.18°, β = 90.00°, γ = 90.00°
With the nearest neighbours (Å) after each atom.
Fractional coordinates of all 8 atoms:
Tm  0.5000  0.0000  0.5000  8 Pm 3.57-3.59, 4 Tb 3.61
Tm  0.0000  0.0000  0.0000  8 Pm 3.59-3.60, 4 Sm 3.61
Pm  0.5000  0.7483  0.2514  4 Tm 3.57-3.60, 2 Tb 3.58, 2 Sm 3.59, 4 Pm 3.61
Pm  0.0000  0.2493  0.2506  2 Tb 3.58, 4 Tm 3.59, 2 Sm 3.59, 4 Pm 3.61
Pm  0.5000  0.2517  0.7486  4 Tm 3.57-3.60, 2 Tb 3.58, 2 Sm 3.59, 4 Pm 3.61
Pm  0.0000  0.7507  0.7494  2 Tb 3.58, 4 Tm 3.59, 2 Sm 3.59, 4 Pm 3.61
Sm  0.5000  0.5000  0.0000  8 Pm 3.59, 4 Tm 3.61
Tb  0.0000  0.5000  0.5000  8 Pm 3.58, 4 Tm 3.61